The following is a PBE calculation of a relaxed structure of Mg7In2Ag, from the Alexandria database.

Summary:
- ρ: 2.90 g/cm³
- Final energy: -1.65 eV per atom
- Space group: Fm-3m, No. 225
- Magnetic moment: 0.00 μB/f.u.
- E_form: 304 meV per atom
- N(E_F): 8.25 states/eV per cell

Cell lengths 7.4391, 7.4391, 7.4391 Å; angles 60.00, 60.00, 60.00 degrees
Element x y z (fractional)
Mg 0.7574 0.2426 0.7574
In 0.2500 0.2500 0.2500
In 0.7500 0.7500 0.7500
Mg 0.5000 0.5000 0.5000
Mg 0.2426 0.7574 0.7574
Mg 0.7574 0.2426 0.2426
Mg 0.2426 0.7574 0.2426
Mg 0.7574 0.7574 0.2426
Mg 0.2426 0.2426 0.7574
Ag 0.0000 0.0000 0.0000



The following is a PBE calculation of a relaxed structure of MgInAg2, from the Alexandria database.

Summary:
- ρ: 7.30 g/cm³
- Final energy: -2.53 eV per atom
- Space group: R-3m, No. 166
- Magnetic moment: 0.00 μB/f.u.
- E_form: -20 meV per atom
- N(E_F): 2.44 states/eV per cell
- Distance to the lowest polymorph of the same formula: 0.1278 eV/atom

Cell lengths 9.5150, 9.5150, 9.5150 Å; angles 19.11, 19.11, 19.11 degrees
Element x y z (fractional)
Mg 0.7500 0.7500 0.7500
In 0.2500 0.2500 0.2500
Ag 0.4973 0.4973 0.4973
Ag 0.0027 0.0027 0.0027



The highest ρ belongs to which entry?
MgInAg2